1.
DFT (PBE-GGA) results for HgPd2Cl8 after structural relaxation.

a = 4.382 Å, b = 9.207 Å, c = 11.259 Å
α = 129.32°, β = 89.88°, γ = 90.85°
Site moments in Bohr magnetons follow the coordinates.
Element x y z (fractional)
Hg (0.000, 0.000, 0.000)  0.00
Pd (0.277, 0.200, 0.601)  0.26
Pd (0.723, 0.800, 0.399)  0.26
Cl (0.219, 0.681, 0.339)  -0.01
Cl (0.781, 0.319, 0.661)  -0.01
Cl (0.724, 0.811, 0.205)  0.26
Cl (0.279, 0.176, 0.389)  0.26
Cl (0.330, 0.751, 0.873)  0.01
Cl (0.276, 0.189, 0.795)  0.26
Cl (0.721, 0.824, 0.611)  0.26
Cl (0.670, 0.249, 0.127)  0.01

Results
Energy in eV for the cell shown: -28.427
ΔE_f (raw) in eV per atom: -0.270

2.
DFT (PBE-GGA) results for MgZrSbW2 after structural relaxation.

a = 4.932 Å, b = 5.257 Å, c = 4.932 Å
α = 90.00°, β = 90.00°, γ = 90.00°
Element x y z (fractional)
Sb (0.000, 0.000, 0.000)
Mg (0.500, 0.500, 0.500)
Zr (0.000, 0.500, 0.000)
W (0.000, 0.000, 0.500)
W (0.500, 0.000, 0.000)

Results
Energy in eV for the cell shown: -31.499
ΔE_f (raw) in eV per atom: 1.734

3.
DFT (PBE-GGA) results for NbSi3Te after structural relaxation.

a = 4.964 Å, b = 4.964 Å, c = 4.964 Å
α = 90.00°, β = 90.00°, γ = 90.00°
Element x y z (fractional)
Nb (0.000, 0.000, 0.000)
Te (0.500, 0.500, 0.500)
Si (0.000, 0.500, 0.000)
Si (0.000, 0.000, 0.500)
Si (0.500, 0.000, 0.000)

Results
Energy in eV for the cell shown: -25.655
Polymorph energy (0 for the lowest one) in meV per atom: 0
ΔE_f (raw) in eV per atom: 0.765

4.
DFT (PBE-GGA) results for IrC3Cl after structural relaxation.

a = 3.623 Å, b = 3.623 Å, c = 3.623 Å
α = 90.00°, β = 90.00°, γ = 90.00°
Element x y z (fractional)
C (0.000, 0.500, 0.000)
C (0.000, 0.000, 0.500)
C (0.500, 0.000, 0.000)
Ir (0.500, 0.500, 0.500)
Cl (0.000, 0.000, 0.000)

Results
Energy in eV for the cell shown: -21.741
Polymorph energy (0 for the lowest one) in meV per atom: 1254
ΔE_f (raw) in eV per atom: 3.328

5.
DFT (PBE-GGA) results for Nd2MgSn3Au4 after structural relaxation.

a = 4.555 Å, b = 4.555 Å, c = 11.503 Å
α = 90.00°, β = 90.00°, γ = 90.00°
Element x y z (fractional)
Nd (0.500, 0.000, 0.231)
Nd (0.000, 0.500, 0.769)
Mg (0.500, 0.500, 0.500)
Sn (0.000, 0.000, 0.500)
Sn (0.500, 0.000, 0.862)
Sn (0.000, 0.500, 0.138)
Au (0.500, 0.500, 0.000)
Au (0.000, 0.000, 0.000)
Au (0.500, 0.000, 0.633)
Au (0.000, 0.500, 0.367)

Results
Energy in eV for the cell shown: -42.329
Calculated formation energy in meV/atom: -608

6.
DFT (PBE-GGA) results for YAuO after structural relaxation.

a = 3.669 Å, b = 3.669 Å, c = 7.929 Å
α = 87.58°, β = 87.58°, γ = 89.78°
Element x y z (fractional)
Y (0.756, 0.756, 0.668)
Y (0.244, 0.244, 0.332)
Au (0.750, 0.250, 0.000)
Au (0.250, 0.750, 0.000)
O (0.771, 0.771, 0.391)
O (0.229, 0.229, 0.609)

Results
Energy in eV for the cell shown: -40.606
Polymorph energy (0 for the lowest one) in meV per atom: 360
ΔE_f (raw) in eV per atom: -1.868

7.
DFT (PBE-GGA) results for BeCu2Mo after structural relaxation.

a = 2.615 Å, b = 4.262 Å, c = 4.447 Å
α = 90.00°, β = 90.00°, γ = 90.00°
Element x y z (fractional)
Be (0.000, 0.500, 0.500)
Mo (0.500, 0.000, 0.500)
Cu (0.000, 0.000, 0.000)
Cu (0.500, 0.500, 0.000)

Results
Energy in eV for the cell shown: -21.750
Calculated formation energy in meV/atom: 250

8.
DFT (PBE-GGA) results for Ba2PtN2 after structural relaxation.

a = 4.492 Å, b = 7.691 Å, c = 7.971 Å
α = 101.81°, β = 106.37°, γ = 90.00°
Site moments in Bohr magnetons follow the coordinates.
Element x y z (fractional)
Ba (0.840, 0.137, 0.256)  0.03
Ba (0.416, 0.637, 0.256)  0.03
Ba (0.160, 0.863, 0.744)  0.03
Ba (0.584, 0.363, 0.744)  0.03
Pt (0.789, 0.750, 0.000)  0.04
Pt (0.211, 0.250, 0.000)  0.04
N (0.920, 0.472, 0.541)  0.21
N (0.379, 0.028, 0.459)  0.21
N (0.080, 0.528, 0.459)  0.21
N (0.621, 0.972, 0.541)  0.21

Results
Energy in eV for the cell shown: -58.049
ΔE_f (raw) in eV per atom: -0.497